No. 1
# Cu2NiBr

Crystalline Cu2NiBr at its relaxed geometry (GGA-PBE, Alexandria via LeMat-Bulk).

Geometry as extended XYZ:
```
12
Lattice="3.674 0.000 0.000 -1.837 3.182 0.000 0.000 0.000 16.845" Properties=species:S:1:pos:R:3 pbc="T T T"
Cu 0.000 0.000 0.000
Cu 0.000 0.000 4.561
Cu 0.000 2.121 11.230
Cu 0.000 2.121 15.791
Cu 1.837 1.061 5.615
Cu 1.837 1.061 10.176
Ni 0.000 0.000 12.271
Ni 0.000 2.121 6.656
Ni 1.837 1.061 1.041
Br 0.000 0.000 8.231
Br 0.000 2.121 2.616
Br 1.837 1.061 13.846
```

## Properties
As for the space group: R3m, No. 160. For the raw formation energy, the calculation gives 388 meV per atom. The calculation puts the excess energy over the best structure of this formula in the dataset at 0.1420 eV/atom. The calculation puts the total energy at -42.3 eV/cell.

=====

No. 2
# CuNi4Br

Crystalline CuNi4Br at its relaxed geometry (GGA-PBE, Alexandria via LeMat-Bulk).

Geometry as extended XYZ:
```
6
Lattice="0.000 3.403 3.403 3.403 0.000 3.403 3.403 3.403 0.000" Properties=species:S:1:pos:R:3 pbc="T T T"
Cu 0.000 0.000 0.000
Ni 4.257 2.550 2.550
Ni 2.550 4.257 2.550
Ni 2.550 2.550 4.257
Ni 4.257 4.257 4.257
Br 1.702 1.702 1.702
```

## Properties
As for the space group: F-43m, No. 216. For the raw formation energy, the calculation gives 543 meV per atom. The calculation puts the total energy at -25.6 eV/cell.

=====

No. 3
# Cu2NiBr

Crystalline Cu2NiBr at its relaxed geometry (GGA-PBE, Alexandria via LeMat-Bulk).

Geometry as extended XYZ:
```
12
Lattice="3.492 0.000 0.000 -1.746 3.024 0.000 0.000 0.000 18.533" Properties=species:S:1:pos:R:3 pbc="T T T"
Cu 0.000 0.000 4.373
Cu 0.000 0.000 14.159
Cu 0.000 2.016 7.982
Cu 0.000 2.016 16.728
Cu 1.746 1.008 1.804
Cu 1.746 1.008 10.551
Ni 0.000 0.000 9.266
Ni 0.000 2.016 3.089
Ni 1.746 1.008 15.444
Br 0.000 0.000 0.000
Br 0.000 2.016 12.355
Br 1.746 1.008 6.178
```

## Properties
As for the space group: R-3m, No. 166. For the raw formation energy, the calculation gives 417 meV per atom. The calculation puts the excess energy over the best structure of this formula in the dataset at 0.1715 eV/atom. The calculation puts the total energy at -41.9 eV/cell.

=====

No. 4
# CuNiBr6

Crystalline CuNiBr6 at its relaxed geometry (GGA-PBE, Alexandria via LeMat-Bulk).

Geometry as extended XYZ:
```
8
Lattice="6.539 0.000 0.000 3.268 5.668 0.000 0.003 3.773 5.455" Properties=species:S:1:pos:R:3 pbc="T T T"
Cu 0.000 0.000 0.000
Ni 3.271 1.887 2.728
Br 1.247 1.757 1.374
Br 2.146 3.576 4.081
Br 4.169 3.706 1.376
Br 5.641 5.735 4.080
Br 7.663 5.865 1.374
Br 8.563 7.684 4.082
```

## Properties
As for the space group: P-1, No. 2. For the raw formation energy, the calculation gives -108 meV per atom. The calculation puts the total energy at -20.8 eV/cell.

=====

No. 5
# Cu2NiBr

Crystalline Cu2NiBr at its relaxed geometry (GGA-PBE, Alexandria via LeMat-Bulk).

Geometry as extended XYZ:
```
16
Lattice="6.124 0.000 0.000 0.000 6.124 0.000 0.000 0.000 6.124" Properties=species:S:1:pos:R:3 pbc="T T T"
Cu 0.000 0.000 0.000
Cu 0.000 3.062 3.062
Cu 1.531 1.531 1.531
Cu 1.531 4.593 4.593
Cu 3.062 0.000 3.062
Cu 3.062 3.062 0.000
Cu 4.593 1.531 4.593
Cu 4.593 4.593 1.531
Ni 1.531 1.531 4.593
Ni 1.531 4.593 1.531
Ni 4.593 1.531 1.531
Ni 4.593 4.593 4.593
Br 0.000 0.000 3.062
Br 0.000 3.062 0.000
Br 3.062 0.000 0.000
Br 3.062 3.062 3.062
```

## Properties
As for the space group: F-43m, No. 216. For the raw formation energy, the calculation gives 549 meV per atom. The calculation puts the excess energy over the best structure of this formula in the dataset at 0.3033 eV/atom. The calculation puts the total energy at -53.8 eV/cell.

=====

No. 6
# Cu2NiBr5

Crystalline Cu2NiBr5 at its relaxed geometry (GGA-PBE, Alexandria via LeMat-Bulk).

Geometry as extended XYZ:
```
16
Lattice="10.328 0.000 0.000 0.000 8.307 0.000 -3.465 0.000 4.951" Properties=species:S:1:pos:R:3 pbc="T T T"
Cu 0.000 1.800 0.000
Cu 0.000 6.507 0.000
Cu 5.164 2.354 0.000
Cu 5.164 5.953 0.000
Ni 2.501 4.154 0.839
Ni 7.665 0.000 0.839
Br -2.963 4.154 4.327
Br -0.313 0.000 1.674
Br 2.643 1.774 0.417
Br 2.643 6.533 0.417
Br 1.439 4.154 3.084
Br 2.201 0.000 4.327
Br 4.851 4.154 1.674
Br 7.807 2.379 0.417
Br 7.807 5.928 0.417
Br 6.603 0.000 3.084
```

## Properties
As for the space group: Cm, No. 8. For the raw formation energy, the calculation gives -231 meV per atom. The calculation puts the total energy at -48.4 eV/cell.